VB2Ir2, relaxed, DFT PBE-GGA; ΔH_f (0 K) = -146 meV per atom
1.0
6.3689 0.0000 0.0000
0.0000 6.3689 0.0000
0.0000 0.0000 2.6908
V B Ir
2 4 4
direct
0.0000 0.0000 0.0000 V
0.5000 0.5000 0.0000 V
0.3492 0.8492 0.0000 B
0.8492 0.6508 0.0000 B
0.6508 0.1508 0.0000 B
0.1508 0.3492 0.0000 B
0.1524 0.6524 0.5000 Ir
0.6524 0.8476 0.5000 Ir
0.8476 0.3476 0.5000 Ir
0.3476 0.1524 0.5000 Ir

=====

VBIr2, relaxed, DFT PBE-GGA; ΔH_f (0 K) = -285 meV per atom
1.0
2.7302 0.0000 0.0000
0.0000 2.7302 0.0000
0.0000 0.0000 6.4787
B Ir V
1 2 1
direct
0.5000 0.5000 0.0000 B
0.0000 0.0000 0.7927 Ir
0.0000 0.0000 0.2073 Ir
0.5000 0.5000 0.5000 V

=====

VZn2B2Ir5, relaxed, DFT PBE-GGA; ΔH_f (0 K) = -245 meV per atom
1.0
-2.0833 -1.6441 -1.1200
5.3259 -7.7353 1.4487
-3.8345 -1.0231 8.6341
V Zn B Ir
2 4 4 10
direct
0.0000 0.0000 0.0000 V
0.0000 0.5000 0.5000 V
0.0000 0.6767 0.1767 Zn
0.0000 0.3233 0.8233 Zn
0.0000 0.1767 0.3233 Zn
0.0000 0.8233 0.6767 Zn
0.0000 0.1242 0.6242 B
0.0000 0.8758 0.3758 B
0.0000 0.6242 0.8758 B
0.0000 0.3758 0.1242 B
0.5000 0.2121 0.0759 Ir
0.5000 0.7879 0.9241 Ir
0.5000 0.0759 0.7879 Ir
0.5000 0.7121 0.4241 Ir
0.5000 0.9241 0.2121 Ir
0.5000 0.2879 0.5759 Ir
0.5000 0.5759 0.7121 Ir
0.5000 0.4241 0.2879 Ir
0.5000 0.5000 0.0000 Ir
0.5000 0.0000 0.5000 Ir

=====

B3IrW, relaxed, DFT PBE-GGA; energy relative to the lowest polymorph listed for this composition = 1.01 eV per formula unit; ΔH_f (0 K) = 1806 meV per atom
1.0
-3.6534 -1.0181 1.5140
1.7345 -0.8871 3.5889
-0.5659 3.8539 1.2261
B Ir W
3 1 1
direct
0.0000 0.5000 0.0000 B
0.0000 0.0000 0.5000 B
0.5000 0.0000 0.0000 B
0.5000 0.5000 0.5000 Ir
0.0000 0.0000 0.0000 W

=====

Look up the ΔH_f (0 K) of the fourth one.
1806 meV per atom

=====

Which of these has the highest ΔH_f (0 K)?
B3IrW